ZnNi7Ge2 after structural relaxation, computed with PBE.

abc: 3.7225 3.7225 18.3818
angles: 90.00 90.00 90.00
Closest atoms and distances in Å follow each position.
Space group I4/mmm (No. 139)
Asymmetric unit:
Zn 0.0000 0.0000 0.0000 (multiplicity 2)  12 Ni 2.52-2.63
Ni 0.0000 0.0000 0.5000 (multiplicity 2)  8 Ni 2.52, 4 Zn 2.63
Ni 0.0000 0.5000 0.0927 (multiplicity 8)  2 Ge 2.35, 2 Ni 2.52, 2 Zn 2.52
Ni 0.0000 0.5000 0.2500 (multiplicity 4)  4 Ge 2.37, 4 Ni 2.63
Ge 0.0000 0.0000 0.3295 (multiplicity 4)  8 Ni 2.35-2.37

Magnetic moment   0.00 μB/f.u.
Formation enthalpy at 0 K   -0.141 eV/atom